1.
Entry from the Alexandria database: an optimized crystal structure of Ba3Ag2P4 (PBE-GGA).

The space group is C2/m (No. 12) and the conventional cell measures 11.8602, 4.5439 and 8.6544 Å, with angles of 90.00, 94.83 and 90.00 degrees. The asymmetric unit holds Ba at (0.0000, 0.0000, 0.0000), Ba at (0.1641, 0.5000, 0.6722), Ag at (0.1139, 0.5000, 0.2755), P at (0.0570, 0.0000, 0.3989) and P at (0.2268, 0.5000, 0.0391).

2.
Entry from the Alexandria database: an optimized crystal structure of Ba6Ag3P (PBE-GGA).

The space group is P2_1/c (No. 14) and the conventional cell measures 8.1025, 9.0293 and 14.4934 Å, with angles of 90.00, 123.31 and 90.00 degrees. The asymmetric unit holds Ba at (0.0941, 0.0438, 0.2408), Ba at (0.2284, 0.6916, 0.0686), Ba at (0.3881, 0.1734, 0.0684), Ag at (0.3067, 0.1098, 0.7551), Ag at (0.5000, 0.0000, 0.5000) and P at (0.0000, 0.0000, 0.0000).

3.
Entry from the Alexandria database: an optimized crystal structure of Ba4AgP (PBE-GGA).

The space group is C2/m (No. 12) and the conventional cell measures 7.9174, 7.9182 and 8.0607 Å, with angles of 90.00, 90.06 and 90.00 degrees. The asymmetric unit holds Ba at (0.2504, 0.2498, 0.2325), Ag at (0.0000, 0.0000, 0.5000) and P at (0.0000, 0.5000, 0.0000).

Number 1: formation enthalpy at 0 K -0.681 eV per atom, density of states at the Fermi level 4.86 states/eV/cell, final energy -4.36 eV/atom. Number 2: formation enthalpy at 0 K -0.357 eV per atom, density of states at the Fermi level 16.20 states/eV/cell, final energy -2.91 eV/atom. Number 3: formation enthalpy at 0 K -0.412 eV per atom, density of states at the Fermi level 11.42 states/eV/cell, final energy -3.07 eV/atom.